DFT (GGA-PBE) results for an optimized crystal structure of PmSi2Au6. Values from VASP.

```
&SYSTEM
  ibrav = 0, nat = 9, ntyp = 3
/
ATOMIC_SPECIES
Au 196.97 Au.upf
Si 28.09 Si.upf
Pm 145.00 Pm.upf
ATOMIC_POSITIONS crystal
Au 0.500 0.000 0.216
Au 0.500 0.500 0.216
Au 0.000 0.500 0.784
Au 0.500 0.000 0.784
Au 0.500 0.500 0.784
Au 0.000 0.500 0.216
Si 0.667 0.333 0.500
Si 0.333 0.667 0.500
Pm 0.000 0.000 0.000
CELL_PARAMETERS angstrom
-3.557 -4.396 1.746
5.855 -0.464 0.729
-0.519 2.778 5.935
```

Calculated values
**Total DFT energy (no corrections)**: -4.053 eV/atom
**E_form (uncorrected)**: -136 meV per atom
**Crystal system**: hexagonal